Record 1
# Tm2HfTl

A relaxed Tm2HfTl crystal (PBE-GGA, Alexandria).

Unit cell a=3.4137 b=3.4137 c=8.9817 alpha=90.00 beta=90.00 gamma=90.00
Space group P4/mmm (No. 123)
Asymmetric unit:
Tm (0.0000, 0.0000, 0.2485) [2 per cell]
Hf (0.5000, 0.5000, 0.0000) [1 per cell]
Tl (0.5000, 0.5000, 0.5000) [1 per cell]

DOS(E_F) = 0.83 states/eV per atom
total energy = -5.42 eV/atom
polymorph energy (0 for the lowest one) = 0 meV per atom

Record 2
# LaFe6B3

A relaxed LaFe6B3 crystal (PBE-GGA, Alexandria).

Unit cell a=5.1144 b=5.2392 c=5.5559 alpha=87.89 beta=64.39 gamma=61.56
Space group P1 (No. 1)
Asymmetric unit:
La (0.0000, 0.0000, 0.0000) [1 per cell]
Fe (0.0855, 0.4783, 0.7981) [1 per cell]
Fe (0.2644, 0.1301, 0.4001) [1 per cell]
Fe (0.2799, 0.6107, 0.3308) [1 per cell]
Fe (0.6365, 0.4613, 0.7806) [1 per cell]
Fe (0.6718, 0.9613, 0.6756) [1 per cell]
Fe (0.7791, 0.5904, 0.3379) [1 per cell]
B (0.2938, 0.3461, 0.0580) [1 per cell]
B (0.5431, 0.3393, 0.4989) [1 per cell]
B (0.5865, 0.7539, 0.0627) [1 per cell]

DOS(E_F) = 0.75 states/eV per atom
total energy = -7.67 eV/atom

Record 3
# Ho5ScHg3

A relaxed Ho5ScHg3 crystal (PBE-GGA, Alexandria).

Unit cell a=8.9956 b=8.9956 c=6.7586 alpha=90.00 beta=90.00 gamma=120.00
Space group P6_3/mcm (No. 193)
Asymmetric unit:
Ho (0.0000, 0.3231, 0.2500) [6 per cell]
Ho (0.3333, 0.6667, 0.0000) [4 per cell]
Sc (0.0000, 0.0000, 0.0000) [2 per cell]
Hg (0.0000, 0.3399, 0.7500) [6 per cell]

DOS(E_F) = 0.42 states/eV per atom
total energy = -3.66 eV/atom

Record 4
# YIn6Ag12

A relaxed YIn6Ag12 crystal (PBE-GGA, Alexandria).

Unit cell a=12.4408 b=12.4408 c=9.3277 alpha=90.00 beta=90.00 gamma=120.00
Space group R-3m (No. 166, hexagonal axes)
Asymmetric unit:
Y (0.0000, 0.0000, 0.0000) [3 per cell]
In (0.0633, 0.5317, 0.2355) [18 per cell]
Ag (0.0000, 0.3888, 0.5000) [18 per cell]
Ag (0.0795, 0.1589, 0.2709) [18 per cell]

DOS(E_F) = 0.24 states/eV per atom
total energy = -2.97 eV/atom

Record 5
# CaInTe2

A relaxed CaInTe2 crystal (PBE-GGA, Alexandria).

Unit cell a=4.1496 b=4.1969 c=14.8150 alpha=90.00 beta=90.00 gamma=90.00
Space group Imm2 (No. 44)
Asymmetric unit:
Ca (0.0000, 0.0000, 0.0000) [2 per cell]
In (0.0000, 0.5000, 0.7496) [2 per cell]
Te (0.0000, 0.0000, 0.4194) [2 per cell]
Te (0.0000, 0.5000, 0.1702) [2 per cell]

DOS(E_F) = 0.27 states/eV per atom
total energy = -3.56 eV/atom

Record 6
# Ta3CrSe6

A relaxed Ta3CrSe6 crystal (PBE-GGA, Alexandria).

Unit cell a=6.0227 b=6.0227 c=12.9091 alpha=90.00 beta=90.00 gamma=120.00
Space group P6_322 (No. 182)
Asymmetric unit:
Ta (0.0000, 0.0000, 0.0000) [2 per cell]
Ta (0.3333, 0.6667, 0.0002) [4 per cell]
Cr (0.3333, 0.6667, 0.2500) [2 per cell]
Se (0.0052, 0.3335, 0.8697) [12 per cell]

DOS(E_F) = 0.30 states/eV per atom
total energy = -7.37 eV/atom
polymorph energy (0 for the lowest one) = 0 meV per atom

Record 7
# PuMg2Al6

A relaxed PuMg2Al6 crystal (PBE-GGA, Alexandria).

Unit cell a=14.1828 b=8.1668 c=2.9645 alpha=90.00 beta=90.37 gamma=90.00
Space group C2/m (No. 12)
Asymmetric unit:
Pu (0.0000, 0.0000, 0.0000) [2 per cell]
Mg (0.1662, 0.5000, 0.9999) [4 per cell]
Al (0.0000, 0.3380, 0.5000) [4 per cell]
Al (0.1689, 0.1690, 0.5010) [8 per cell]

DOS(E_F) = 0.92 states/eV per atom
total energy = -4.55 eV/atom

Record 8
# AgIrBr2

A relaxed AgIrBr2 crystal (PBE-GGA, Alexandria).

Unit cell a=3.5441 b=4.7945 c=12.8272 alpha=90.00 beta=90.00 gamma=90.00
Space group Immm (No. 71)
Asymmetric unit:
Ag (0.0000, 0.0000, 0.0000) [2 per cell]
Ir (0.0000, 0.0000, 0.5000) [2 per cell]
Br (0.0000, 0.5000, 0.1368) [4 per cell]

total energy = -3.59 eV/atom
polymorph energy (0 for the lowest one) = 0 meV per atom

Record 9
# Fe3AgPb

A relaxed Fe3AgPb crystal (PBE-GGA, Alexandria).

Unit cell a=4.7555 b=4.7555 c=4.7555 alpha=90.00 beta=90.00 gamma=90.00
Space group Pm-3m (No. 221)
Asymmetric unit:
Fe (0.0000, 0.0000, 0.5000) [3 per cell]
Ag (0.0000, 0.0000, 0.0000) [1 per cell]
Pb (0.5000, 0.5000, 0.5000) [1 per cell]

DOS(E_F) = 1.70 states/eV per atom
total energy = -5.08 eV/atom
polymorph energy (0 for the lowest one) = 0 meV per atom

Record 10
# Np2MnTl3Se6

A relaxed Np2MnTl3Se6 crystal (PBE-GGA, Alexandria).

Unit cell a=7.1098 b=12.2967 c=8.1253 alpha=90.00 beta=106.97 gamma=90.00
Space group C2/m (No. 12)
Asymmetric unit:
Np (0.0000, 0.1662, 0.0000) [4 per cell]
Mn (0.0000, 0.5000, 0.0000) [2 per cell]
Tl (0.0000, 0.0000, 0.5000) [2 per cell]
Tl (0.0000, 0.3293, 0.5000) [4 per cell]
Se (0.2262, 0.3394, 0.1973) [8 per cell]
Se (0.2440, 0.0000, 0.2010) [4 per cell]

DOS(E_F) = 1.56 states/eV per atom
total energy = -6.01 eV/atom

Record 11
# Pr2Tl2Pb

A relaxed Pr2Tl2Pb crystal (PBE-GGA, Alexandria).

Unit cell a=5.3515 b=5.3515 c=12.8433 alpha=90.00 beta=90.00 gamma=120.00
Space group P6_3/mmc (No. 194)
Asymmetric unit:
Pr (0.3333, 0.6667, 0.1000) [4 per cell]
Tl (0.0000, 0.0000, 0.0000) [2 per cell]
Tl (0.3333, 0.6667, 0.7500) [2 per cell]
Pb (0.0000, 0.0000, 0.2500) [2 per cell]

DOS(E_F) = 0.71 states/eV per atom
total energy = -3.84 eV/atom
polymorph energy (0 for the lowest one) = 121 meV per atom

Record 12
# Mg2ZrTiRu

A relaxed Mg2ZrTiRu crystal (PBE-GGA, Alexandria).

Unit cell a=5.0132 b=5.0132 c=4.3455 alpha=90.00 beta=90.00 gamma=90.00
Space group P4/mmm (No. 123)
Asymmetric unit:
Mg (0.0000, 0.5000, 0.0000) [2 per cell]
Zr (0.0000, 0.0000, 0.5000) [1 per cell]
Ti (0.5000, 0.5000, 0.0000) [1 per cell]
Ru (0.5000, 0.5000, 0.5000) [1 per cell]

DOS(E_F) = 0.61 states/eV per atom
total energy = -5.04 eV/atom

Record 13
# Ac2ThH12Rh3

A relaxed Ac2ThH12Rh3 crystal (PBE-GGA, Alexandria).

Unit cell a=6.7691 b=6.7691 c=15.1800 alpha=90.00 beta=90.00 gamma=120.00
Space group R-3m (No. 166, hexagonal axes)
Asymmetric unit:
Ac (0.0000, 0.0000, 0.1152) [6 per cell]
Th (0.0000, 0.0000, 0.5000) [3 per cell]
H (0.0356, 0.5178, 0.8868) [18 per cell]
H (0.0772, 0.5386, 0.3165) [18 per cell]
Rh (0.0000, 0.5000, 0.0000) [9 per cell]

DOS(E_F) = 0.39 states/eV per atom
total energy = -4.67 eV/atom

Record 14
# BeAlPb2

A relaxed BeAlPb2 crystal (PBE-GGA, Alexandria).

Unit cell a=3.6516 b=3.6516 c=24.3567 alpha=90.00 beta=90.00 gamma=120.00
Space group R3m (No. 160, hexagonal axes)
Asymmetric unit:
Be (0.0000, 0.0000, 0.0000) [3 per cell]
Al (0.0000, 0.0000, 0.2836) [3 per cell]
Pb (0.0000, 0.0000, 0.5205) [3 per cell]
Pb (0.0000, 0.0000, 0.7382) [3 per cell]

DOS(E_F) = 0.44 states/eV per atom
total energy = -3.32 eV/atom
polymorph energy (0 for the lowest one) = 87 meV per atom

Record 15
# LaPm2In3

A relaxed LaPm2In3 crystal (PBE-GGA, Alexandria).

Unit cell a=3.8719 b=3.8719 c=11.7299 alpha=90.00 beta=90.00 gamma=90.00
Space group P4/mmm (No. 123)
Asymmetric unit:
La (0.0000, 0.0000, 0.0000) [1 per cell]
Pm (0.0000, 0.0000, 0.3373) [2 per cell]
In (0.5000, 0.5000, 0.1757) [2 per cell]
In (0.5000, 0.5000, 0.5000) [1 per cell]

DOS(E_F) = 0.66 states/eV per atom
total energy = -4.28 eV/atom

Record 16
# AgAsBr2N

A relaxed AgAsBr2N crystal (PBE-GGA, Alexandria).

Unit cell a=5.7844 b=5.7844 c=3.6611 alpha=90.00 beta=90.00 gamma=90.00
Space group P4/mmm (No. 123)
Asymmetric unit:
Ag (0.0000, 0.0000, 0.0000) [1 per cell]
As (0.5000, 0.5000, 0.0000) [1 per cell]
Br (0.0000, 0.5000, 0.5000) [2 per cell]
N (0.5000, 0.5000, 0.5000) [1 per cell]

DOS(E_F) = 0.40 states/eV per atom
total energy = -2.98 eV/atom
polymorph energy (0 for the lowest one) = 0 meV per atom

Record 17
# Ba2ScTc

A relaxed Ba2ScTc crystal (PBE-GGA, Alexandria).

Unit cell a=7.9874 b=4.6078 c=9.0231 alpha=90.00 beta=107.09 gamma=90.00
Space group Cm (No. 8)
Asymmetric unit:
Ba (0.0000, 0.0000, 0.0000) [2 per cell]
Ba (0.1743, 0.0000, 0.5251) [2 per cell]
Sc (0.4206, 0.0000, 0.2635) [2 per cell]
Tc (0.2551, 0.5000, 0.2670) [2 per cell]

DOS(E_F) = 0.85 states/eV per atom
total energy = -4.76 eV/atom
polymorph energy (0 for the lowest one) = 34 meV per atom

Record 18
# LiPaGaRh

A relaxed LiPaGaRh crystal (PBE-GGA, Alexandria).

Unit cell a=6.5434 b=6.5434 c=6.5434 alpha=90.00 beta=90.00 gamma=90.00
Space group F-43m (No. 216)
Asymmetric unit:
Li (0.0000, 0.0000, 0.0000) [4 per cell]
Pa (0.2500, 0.2500, 0.7500) [4 per cell]
Ga (0.2500, 0.2500, 0.2500) [4 per cell]
Rh (0.0000, 0.0000, 0.5000) [4 per cell]

DOS(E_F) = 0.38 states/eV per atom
total energy = -5.89 eV/atom

Record 19
# NdEr2Nb

A relaxed NdEr2Nb crystal (PBE-GGA, Alexandria).

Unit cell a=3.3038 b=3.3038 c=35.1519 alpha=90.00 beta=90.00 gamma=120.00
Space group R-3m (No. 166, hexagonal axes)
Asymmetric unit:
Nd (0.0000, 0.0000, 0.0000) [3 per cell]
Er (0.0000, 0.0000, 0.4180) [6 per cell]
Nb (0.0000, 0.0000, 0.5000) [3 per cell]

DOS(E_F) = 1.46 states/eV per atom
total energy = -5.44 eV/atom

Record 20
# Sr2UAgS5

A relaxed Sr2UAgS5 crystal (PBE-GGA, Alexandria).

Unit cell a=4.0927 b=17.3726 c=12.7573 alpha=90.00 beta=90.00 gamma=90.00
Space group Cmc2_1 (No. 36)
Asymmetric unit:
Sr (0.0000, 0.0918, 0.0000) [4 per cell]
Sr (0.0000, 0.1193, 0.6436) [4 per cell]
U (0.0000, 0.2148, 0.3535) [4 per cell]
Ag (0.0000, 0.4348, 0.7718) [4 per cell]
S (0.0000, 0.0713, 0.3905) [4 per cell]
S (0.0000, 0.2742, 0.9917) [4 per cell]
S (0.0000, 0.2893, 0.7181) [4 per cell]
S (0.0000, 0.3633, 0.3318) [4 per cell]
S (0.0000, 0.4977, 0.1011) [4 per cell]

DOS(E_F) = 0.55 states/eV per atom
total energy = -5.70 eV/atom